Density functional theory data (PBE-GGA) for a relaxed structure of CsW4S8.

For the density of states at the Fermi level, the calculation gives 3.752 states/eV/f.u. The value obtained for the magnetization is 0.000 μB per atom. For the uncorrected formation energy, the calculation gives -0.583 eV/atom.

a = 3.295 Å, b = 8.709 Å, c = 9.253 Å
α = 82.58°, β = 79.74°, γ = 79.10°
Fractional coordinates of all 13 atoms:
W (0.689, 0.140, 0.482)
W (0.196, 0.507, 0.101)
W (0.343, 0.863, 0.452)
W (0.835, 0.497, 0.833)
S (0.818, 0.315, 0.050)
S (0.214, 0.689, 0.884)
S (0.867, 0.984, 0.282)
S (0.165, 0.019, 0.651)
S (0.153, 0.324, 0.371)
S (0.560, 0.657, 0.223)
S (0.471, 0.347, 0.712)
S (0.879, 0.679, 0.563)
Cs (0.516, 0.002, 0.967)

=====

Density functional theory data (PBE-GGA) for a relaxed structure of CsWS4.

For the density of states at the Fermi level, the calculation gives 1.206 states/eV/f.u. The value obtained for the magnetization is 0.000 μB per atom. For the uncorrected formation energy, the calculation gives -0.484 eV/atom.

a = 3.620 Å, b = 4.918 Å, c = 9.156 Å
α = 113.24°, β = 90.00°, γ = 90.00°
Fractional coordinates of all 6 atoms:
S (0.500, 0.726, 0.078)
S (0.500, 0.274, 0.922)
S (0.000, 0.677, 0.742)
S (0.000, 0.323, 0.258)
Cs (0.500, 0.000, 0.500)
W (0.000, 0.000, 0.000)